(1)
RbNaBiAu: optimized geometry, PBE.

Geometry as POSCAR:
```
RbNaBiAu
1.0
5.189 0.000 0.000
0.000 5.509 0.000
0.000 -2.755 5.462
Bi Na Rb Au
1 1 1 1
direct
0.000 0.592 0.185
0.000 0.924 0.848
0.500 0.205 0.409
0.500 0.506 0.013
```

Computed properties:
spin magnetization: 0.0 μB/f.u.
energy of formation: -0.31 eV/atom



(2)
Rb2NaBi2Au: optimized geometry, PBE.

Geometry as POSCAR:
```
Rb2NaBi2Au
1.0
-2.825 1.200 6.878
-5.974 -4.369 -1.691
8.424 -5.003 0.209
Bi Rb Na Au
4 4 2 2
direct
0.201 0.909 0.819
0.382 0.591 0.181
0.799 0.091 0.181
0.618 0.409 0.819
0.079 0.334 0.667
0.589 0.834 0.667
0.411 0.166 0.333
0.921 0.666 0.333
0.000 0.250 0.000
0.000 0.750 0.000
0.500 0.250 0.000
0.500 0.750 0.000
```

Computed properties:
spin magnetization: 0.0 μB/f.u.
energy of formation: -0.26 eV/atom



(3)
NaBi2RuAu: optimized geometry, PBE.

Geometry as POSCAR:
```
NaBi2RuAu
1.0
-1.259 4.556 -2.808
1.566 -2.191 -4.258
-5.072 -1.937 -0.869
Au Ru Na Bi
1 1 1 2
direct
0.000 0.000 0.000
0.500 0.500 0.500
0.000 0.500 0.000
0.000 0.000 0.500
0.500 0.000 0.000
```

Computed properties:
spin magnetization: 2.2 μB/f.u.
energy of formation: 0.94 eV/atom



(4)
NaBiRuAu2: optimized geometry, PBE.

Geometry as POSCAR:
```
NaBiRuAu2
1.0
-2.101 -3.316 -3.675
-0.450 -4.035 3.898
-4.931 1.749 1.241
Ru Na Au Bi
1 1 2 1
direct
0.500 0.500 0.500
0.000 0.500 0.000
0.500 0.000 0.000
0.000 0.000 0.500
0.000 0.000 0.000
```

Computed properties:
spin magnetization: 3.1 μB/f.u.
energy of formation: 1.26 eV/atom



(5)
NaBiSbAu: optimized geometry, PBE.

Geometry as POSCAR:
```
NaBiSbAu
1.0
5.292 0.000 0.000
2.646 4.583 0.000
2.646 1.528 4.321
Au Sb Bi Na
1 1 1 1
direct
0.000 0.000 0.000
0.500 0.500 0.500
0.750 0.750 0.750
0.250 0.250 0.250
```

Computed properties:
ΔE_f (raw): -81 meV/atom
spin magnetization: 0.0 μB/f.u.



(6)
NaScBiAu: optimized geometry, PBE.

Geometry as POSCAR:
```
NaScBiAu
1.0
-0.750 -0.932 4.935
-1.783 -4.515 1.489
3.035 -3.242 2.461
Na Sc Au Bi
1 1 1 1
direct
0.250 0.250 0.250
0.750 0.750 0.750
0.000 0.000 0.000
0.500 0.500 0.500
```

Computed properties:
spin magnetization: 0.0 μB/f.u.
energy of formation: -0.45 eV/atom



(7)
NaBiAuSe2: optimized geometry, PBE.

Geometry as POSCAR:
```
NaBiAuSe2
1.0
4.768 0.000 0.000
0.000 7.019 0.242
0.000 -1.855 8.218
Au Na Se Bi
2 2 4 2
direct
0.000 0.000 0.000
0.000 0.000 0.500
0.841 0.500 0.250
0.159 0.500 0.750
0.319 0.711 0.462
0.319 0.289 0.038
0.681 0.711 0.962
0.681 0.289 0.538
0.460 0.000 0.250
0.540 0.000 0.750
```

Computed properties:
ΔE_f (raw): -401 meV/atom
spin magnetization: 0.0 μB/f.u.



(8)
NaSiBi2Au: optimized geometry, PBE.

Geometry as POSCAR:
```
NaSiBi2Au
1.0
5.387 0.000 0.000
0.000 5.314 0.000
0.000 0.000 5.387
Na Bi Si Au
1 2 1 1
direct
0.000 0.500 0.000
0.000 0.000 0.500
0.500 0.000 0.000
0.000 0.000 0.000
0.500 0.500 0.500
```

Computed properties:
ΔE_f (raw): 528 meV/atom
spin magnetization: 0.0 μB/f.u.